Entry from Alexandria via LeMat-Bulk: an optimized crystal structure of Ba3NpAg2Se6 (PBE-GGA).

Output
Formation energy from raw total energies ... -1101.1 meV/atom
Spin magnetization ... 0.25 μB per atom

abc: 7.7656 7.7656 8.1801
angles: 90.00 90.00 120.00
Space group P-3m1 (No. 164)
One atom of each set of equivalent atoms:
1 Ba 0.0000 0.0000 0.0000 (multiplicity 1)
2 Ba 0.3333 0.6667 0.5977 (multiplicity 2)
3 Np 0.0000 0.0000 0.5000 (multiplicity 1)
4 Ag 0.3333 0.6667 0.1377 (multiplicity 2)
5 Se 0.1648 0.3295 0.2964 (multiplicity 6)